Here is a geometry-optimized PrFe2H7 structure from Alexandria. Energies are from PBE.

a b c (Å): 4.9475 4.9475 3.5350
angles (deg): 90.00 90.00 119.34
Closest atoms and distances in Å follow each position.
Fractional positions:
Pr 0.0000 0.0000 0.0000  8 H 2.36
Fe 0.3094 0.6906 0.5000  7 H 1.62-1.77
Fe 0.6906 0.3094 0.5000  7 H 1.62-1.77
H 0.0358 0.3314 0.5000  2 Fe 1.62-1.66
H 0.3131 0.6869 0.0000  2 Fe 1.77
H 0.3314 0.0358 0.5000  2 Fe 1.62-1.66
H 0.5000 0.5000 0.5000  2 Fe 1.63
H 0.6686 0.9642 0.5000  2 Fe 1.62-1.66
H 0.6869 0.3131 0.0000  2 Fe 1.77
H 0.9642 0.6686 0.5000  2 Fe 1.62-1.66

Calculated values
- space group = Cmmm, No. 65
- density of states at the Fermi level (states/eV per atom) = 0.3172
- density (Mg/m³) = 5.72
- energy (eV/atom) = -4.67